[1]
Pm3NpO8: optimized geometry, GGA-PBE.

abc: 5.4509 5.4509 5.4509
angles: 90.00 90.00 90.00
Fractional positions:
1 Pm 0.5000 0.5000 0.0000
2 Pm 0.5000 0.0000 0.5000
3 Pm 0.0000 0.5000 0.5000
4 Np 0.0000 0.0000 0.0000
5 O 0.2336 0.2336 0.7664
6 O 0.2336 0.7664 0.2336
7 O 0.7664 0.2336 0.2336
8 O 0.7664 0.7664 0.7664
9 O 0.7664 0.7664 0.2336
10 O 0.7664 0.2336 0.7664
11 O 0.2336 0.7664 0.7664
12 O 0.2336 0.2336 0.2336

Values from the calculation:
Formation energy without anion corrections   -3.1195 eV/atom
VASP energy   -8.6910 eV/atom
Space-group type   Pm-3m (221)



[2]
Pm2NpO6: optimized geometry, GGA-PBE.

abc: 5.1965 5.1965 10.6813
angles: 90.00 90.00 90.00
Each line ends with the local moment (μB).
Fractional positions:
1 Pm 0.5000 0.5000 0.3335  -0.01
2 Pm 0.5000 0.5000 0.6665  -0.01
3 Pm 0.0000 0.0000 0.1665  -0.01
4 Pm 0.0000 0.0000 0.8335  -0.01
5 Np 0.5000 0.5000 0.0000  1.22
6 Np 0.0000 0.0000 0.5000  1.22
7 O 0.6822 0.6822 0.1505  -0.03
8 O 0.6822 0.6822 0.8495  -0.03
9 O 0.7163 0.7163 0.5000  -0.04
10 O 0.7837 0.2163 0.0000  -0.04
11 O 0.8178 0.1822 0.3495  -0.03
12 O 0.8178 0.1822 0.6505  -0.03
13 O 0.1822 0.8178 0.3495  -0.03
14 O 0.1822 0.8178 0.6505  -0.03
15 O 0.2163 0.7837 0.0000  -0.04
16 O 0.2837 0.2837 0.5000  -0.04
17 O 0.3178 0.3178 0.1505  -0.03
18 O 0.3178 0.3178 0.8495  -0.03

Values from the calculation:
Formation energy without anion corrections   -3.1894 eV/atom
VASP energy   -8.9885 eV/atom
Polymorph energy (0 for the lowest one)   5 meV/atom
Space-group type   P4_2/mnm (136)



[3]
Pm3NpO7: optimized geometry, GGA-PBE.

abc: 6.7359 6.7359 7.8861
angles: 90.00 90.00 109.86
Each line ends with the local moment (μB).
Fractional positions:
1 Pm 0.4998 0.4998 0.5000  0.00
2 Pm 0.5002 0.5002 0.0000  0.00
3 Pm 0.5331 0.0025 0.2500  0.00
4 Pm 0.4669 0.9975 0.7500  0.00
5 Pm 0.0025 0.5331 0.7500  0.00
6 Pm 0.9975 0.4669 0.2500  0.00
7 Np 0.0000 0.0000 0.5000  2.19
8 Np 0.0000 0.0000 0.0000  2.19
9 O 0.6706 0.9180 0.5289  -0.05
10 O 0.3294 0.0820 0.0289  -0.05
11 O 0.9180 0.6706 0.4711  -0.05
12 O 0.0820 0.3294 0.9711  -0.05
13 O 0.0822 0.3295 0.5289  -0.05
14 O 0.9178 0.6705 0.0289  -0.05
15 O 0.3295 0.0822 0.4711  -0.05
16 O 0.6705 0.9178 0.9711  -0.05
17 O 0.3685 0.6315 0.2500  0.00
18 O 0.6315 0.3685 0.7500  0.00
19 O 0.6335 0.3664 0.2500  0.00
20 O 0.3664 0.6335 0.7500  0.00
21 O 0.9129 0.0871 0.2500  -0.04
22 O 0.0871 0.9129 0.7500  -0.04

Values from the calculation:
Density of states at the Fermi level   0.541 states/eV/atom
Formation energy without anion corrections   -3.3301 eV/atom
VASP energy   -8.9574 eV/atom
Space-group type   Cmcm (63)



[4]
PmNpO4: optimized geometry, GGA-PBE.

abc: 3.8823 3.8849 6.5428
angles: 72.72 72.74 60.02
Each line ends with the local moment (μB).
Fractional positions:
1 Pm 0.5000 0.5000 0.5000  0.00
2 Np 0.0000 0.0000 0.0000  2.27
3 O 0.6331 0.6332 0.1006  -0.08
4 O 0.3669 0.3668 0.8994  -0.08
5 O 0.1163 0.1159 0.6515  -0.05
6 O 0.8837 0.8841 0.3485  -0.05

Values from the calculation:
Density of states at the Fermi level   1.227 states/eV/atom
Formation energy without anion corrections   -3.2299 eV/atom
VASP energy   -9.4839 eV/atom
Polymorph energy (0 for the lowest one)   0 meV/atom
Space-group type   R-3m (166)



[5]
Pm2NpO5: optimized geometry, GGA-PBE.

abc: 5.8420 6.8295 8.0202
angles: 110.99 90.00 115.32
Each line ends with the local moment (μB).
Fractional positions:
1 Pm 0.6339 0.2812 0.2531  0.01
2 Pm 0.3527 0.7188 0.2469  0.01
3 Pm 0.6473 0.2812 0.7531  0.01
4 Pm 0.3661 0.7188 0.7469  0.01
5 Np 0.0000 0.0000 0.0000  3.08
6 Np 0.0000 0.0000 0.5000  3.08
7 O 0.0144 0.3515 0.1471  -0.03
8 O 0.7466 0.1511 0.4581  -0.03
9 O 0.4045 0.1511 0.9581  -0.03
10 O 0.6630 0.6485 0.3529  -0.03
11 O 0.3370 0.3515 0.6471  -0.03
12 O 0.1966 0.0000 0.2500  -0.05
13 O 0.5955 0.8489 0.0419  -0.03
14 O 0.2534 0.8489 0.5419  -0.03
15 O 0.9856 0.6485 0.8529  -0.03
16 O 0.8034 0.0000 0.7500  -0.05

Values from the calculation:
Density of states at the Fermi level   1.111 states/eV/atom
Formation energy without anion corrections   -3.2158 eV/atom
VASP energy   -9.1200 eV/atom
Space-group type   C2/c (15)



[6]
Pm2Np2O7: optimized geometry, GGA-PBE.

abc: 7.7607 7.7607 7.7607
angles: 60.00 60.00 60.00
Each line ends with the local moment (μB).
Fractional positions:
1 Pm 0.6250 0.6250 0.6250  0.01
2 Pm 0.6250 0.6250 0.1250  0.01
3 Pm 0.6250 0.1250 0.6250  0.01
4 Pm 0.1250 0.6250 0.6250  0.01
5 Np 0.6250 0.1250 0.1250  3.04
6 Np 0.1250 0.6250 0.1250  3.04
7 Np 0.1250 0.1250 0.6250  3.04
8 Np 0.1250 0.1250 0.1250  3.04
9 O 0.2235 0.2235 0.7765  -0.07
10 O 0.2235 0.7765 0.2235  -0.07
11 O 0.4735 0.0265 0.4735  -0.07
12 O 0.4735 0.4735 0.0265  -0.07
13 O 0.7500 0.7500 0.7500  0.00
14 O 0.7765 0.2235 0.2235  -0.07
15 O 0.4735 0.0265 0.0265  -0.07
16 O 0.0265 0.4735 0.4735  -0.07
17 O 0.0265 0.0265 0.4735  -0.07
18 O 0.0265 0.4735 0.0265  -0.07
19 O 0.2235 0.7765 0.7765  -0.07
20 O 0.5000 0.5000 0.5000  0.00
21 O 0.7765 0.2235 0.7765  -0.07
22 O 0.7765 0.7765 0.2235  -0.07

Values from the calculation:
Density of states at the Fermi level   1.449 states/eV/atom
Formation energy without anion corrections   -3.2074 eV/atom
VASP energy   -9.5792 eV/atom
Space-group type   Fd-3m (227)



[7]
Pm3NpO6: optimized geometry, GGA-PBE.

abc: 6.9769 6.9769 6.9769
angles: 91.75 91.75 91.75
Each line ends with the local moment (μB).
Fractional positions:
1 Pm 0.4466 0.9368 0.7488  0.04
2 Pm 0.9368 0.7488 0.4466  0.04
3 Pm 0.2512 0.5534 0.0632  0.04
4 Pm 0.7488 0.4466 0.9368  0.04
5 Pm 0.0632 0.2512 0.5534  0.04
6 Pm 0.5534 0.0632 0.2512  0.04
7 Np 0.0000 0.0000 0.0000  3.77
8 Np 0.5000 0.5000 0.5000  3.61
9 O 0.3148 0.9026 0.0649  -0.02
10 O 0.0974 0.9351 0.6852  -0.02
11 O 0.5984 0.8140 0.4672  -0.02
12 O 0.9351 0.6852 0.0974  -0.02
13 O 0.4672 0.5984 0.8140  -0.02
14 O 0.1860 0.5328 0.4016  -0.02
15 O 0.8140 0.4672 0.5984  -0.02
16 O 0.5328 0.4016 0.1860  -0.02
17 O 0.0649 0.3148 0.9026  -0.02
18 O 0.4016 0.1860 0.5328  -0.02
19 O 0.9026 0.0649 0.3148  -0.02
20 O 0.6852 0.0974 0.9351  -0.02

Values from the calculation:
Density of states at the Fermi level   0.807 states/eV/atom
Formation energy without anion corrections   -3.1923 eV/atom
VASP energy   -8.8865 eV/atom
Space-group type   R-3 (148)



[8]
PmPrNpO6: optimized geometry, GGA-PBE.

abc: 5.9124 5.9124 9.6941
angles: 90.00 90.00 120.00
Each line ends with the local moment (μB).
Fractional positions:
1 Pm 0.3333 0.6667 0.2500  0.00
2 Pm 0.6667 0.3333 0.7500  0.00
3 Pr 0.0000 0.0000 0.0000  -0.01
4 Pr 0.0000 0.0000 0.5000  -0.01
5 Np 0.6667 0.3333 0.2500  1.21
6 Np 0.3333 0.6667 0.7500  1.21
7 O 0.6669 0.6320 0.1359  -0.04
8 O 0.9652 0.3331 0.1359  -0.04
9 O 0.3331 0.9652 0.6359  -0.04
10 O 0.0348 0.6669 0.8641  -0.04
11 O 0.3680 0.3331 0.3641  -0.04
12 O 0.9652 0.6320 0.3641  -0.04
13 O 0.6320 0.9652 0.8641  -0.04
14 O 0.6669 0.0348 0.3641  -0.04
15 O 0.0348 0.3680 0.6359  -0.04
16 O 0.3680 0.0348 0.1359  -0.04
17 O 0.6320 0.6669 0.6359  -0.04
18 O 0.3331 0.3680 0.8641  -0.04

Values from the calculation:
Formation energy without anion corrections   -3.1259 eV/atom
VASP energy   -8.9281 eV/atom
Space-group type   P-31c (163)



[9]
PmNpPtO6: optimized geometry, GGA-PBE.

abc: 5.7354 5.7354 8.5681
angles: 90.00 90.00 120.00
Each line ends with the local moment (μB).
Fractional positions:
1 Pm 0.3333 0.6667 0.2500  0.03
2 Pm 0.6667 0.3333 0.7500  0.03
3 Np 0.6667 0.3333 0.2500  1.86
4 Np 0.3333 0.6667 0.7500  1.86
5 Pt 0.0000 0.0000 0.0000  0.29
6 Pt 0.0000 0.0000 0.5000  0.29
7 O 0.6954 0.6601 0.1209  -0.03
8 O 0.9647 0.3046 0.1209  -0.03
9 O 0.3046 0.9647 0.6209  -0.03
10 O 0.0353 0.6954 0.8791  -0.03
11 O 0.3399 0.3046 0.3791  -0.03
12 O 0.9647 0.6601 0.3791  -0.03
13 O 0.6601 0.9647 0.8791  -0.03
14 O 0.6954 0.0353 0.3791  -0.03
15 O 0.0353 0.3399 0.6209  -0.03
16 O 0.3399 0.0353 0.1209  -0.03
17 O 0.6601 0.6954 0.6209  -0.03
18 O 0.3046 0.3399 0.8791  -0.03

Values from the calculation:
Density of states at the Fermi level   0.294 states/eV/atom
Formation energy without anion corrections   -2.0611 eV/atom
VASP energy   -8.0034 eV/atom
Space-group type   P-31c (163)



Copy entry 1 word for word.
Pm3NpO8: optimized geometry, GGA-PBE.

abc: 5.4509 5.4509 5.4509
angles: 90.00 90.00 90.00
Fractional positions:
1 Pm 0.5000 0.5000 0.0000
2 Pm 0.5000 0.0000 0.5000
3 Pm 0.0000 0.5000 0.5000
4 Np 0.0000 0.0000 0.0000
5 O 0.2336 0.2336 0.7664
6 O 0.2336 0.7664 0.2336
7 O 0.7664 0.2336 0.2336
8 O 0.7664 0.7664 0.7664
9 O 0.7664 0.7664 0.2336
10 O 0.7664 0.2336 0.7664
11 O 0.2336 0.7664 0.7664
12 O 0.2336 0.2336 0.2336

Values from the calculation:
Formation energy without anion corrections   -3.1195 eV/atom
VASP energy   -8.6910 eV/atom
Space-group type   Pm-3m (221)